This record from Alexandria via LeMat-Bulk describes crystalline LiFeHgF6 at its relaxed geometry. The functional is GGA+U.

Cell and atoms, written as CIF:
```
data_LiFeHgF6
_cell_length_a 5.207
_cell_length_b 5.207
_cell_length_c 9.834
_cell_angle_alpha 90.00
_cell_angle_beta 90.00
_cell_angle_gamma 120.00
_space_group_name_H-M_alt 'P 1'
_space_group_IT_number 1
_space_group_name_Hall 'P 1'
loop_
_atom_site_label
_atom_site_type_symbol
_atom_site_fract_x
_atom_site_fract_y
_atom_site_fract_z
Li1 Li 0.667 0.333 0.250
Li2 Li 0.333 0.667 0.750
Fe1 Fe 0.333 0.667 0.250
Fe2 Fe 0.667 0.333 0.750
Hg1 Hg 0.000 0.000 0.000
Hg2 Hg 0.000 0.000 0.500
F1 F 0.628 0.648 0.142
F2 F 0.020 0.372 0.142
F3 F 0.372 0.020 0.642
F4 F 0.980 0.628 0.858
F5 F 0.352 0.372 0.358
F6 F 0.020 0.648 0.358
F7 F 0.648 0.020 0.858
F8 F 0.628 0.980 0.358
F9 F 0.980 0.352 0.642
F10 F 0.352 0.980 0.142
F11 F 0.648 0.628 0.642
F12 F 0.372 0.352 0.858
```

The calculation puts the total energy at -4.119 eV per atom. Its calculated volume is 230.93 Å³/cell. For the density of states at the Fermi level, the calculation gives 0.000 states/eV per cell. The mass density is 5427 kg/m³.